Entry 1:
VASP calculation (PBE-GGA) on a relaxed structure of Nd2NiSn4Pd.

abc: 4.609 9.609 9.609
angles: 26.88 90.00 90.00
Sites, in units of the cell vectors:
Pd  0.500  0.322  0.322
Sn  0.000  0.247  0.247
Sn  0.500  0.743  0.743
Sn  0.000  0.548  0.548
Sn  0.500  0.460  0.460
Nd  0.000  0.893  0.893
Nd  0.500  0.107  0.107
Ni  0.000  0.680  0.680

As for the density: 8.01 g/cm3. The electronic total energy comes out at -41.51 eV per cell.

=====

Entry 2:
VASP calculation (PBE-GGA) on a relaxed structure of NdNiSn2Pd.

abc: 4.515 4.515 10.377
angles: 90.00 90.00 90.00
Sites, in units of the cell vectors:
Nd  0.000  0.500  0.249
Nd  0.500  0.000  0.751
Sn  0.500  0.000  0.141
Sn  0.500  0.500  0.500
Sn  0.000  0.500  0.859
Sn  0.000  0.000  0.500
Ni  0.000  0.500  0.619
Ni  0.500  0.000  0.381
Pd  0.000  0.000  0.000
Pd  0.500  0.500  0.000

As for the density: 8.59 g/cm3. Its energy above the lowest structure with this stoichiometry is 0.0 meV per atom.

=====

Entry 3:
VASP calculation (PBE-GGA) on a relaxed structure of Nd3NiSn3Pd2.

abc: 7.636 7.636 4.049
angles: 90.00 90.00 120.00
Sites, in units of the cell vectors:
Sn  0.244  0.244  0.500
Sn  0.000  0.756  0.500
Sn  0.756  0.000  0.500
Nd  0.407  0.000  0.000
Nd  0.000  0.407  0.000
Nd  0.593  0.593  0.000
Pd  0.333  0.667  0.500
Pd  0.667  0.333  0.500
Ni  0.000  0.000  0.000

As for the density: 8.61 g/cm3. The electronic total energy comes out at -49.76 eV per cell.

=====

Entry 4:
VASP calculation (PBE-GGA) on a relaxed structure of PrNdNi.

abc: 4.904 4.904 4.904
angles: 60.00 60.00 60.00
Sites, in units of the cell vectors:
Nd  0.250  0.250  0.250
Pr  0.750  0.750  0.750
Ni  0.000  0.000  0.000

As for the density: 6.85 g/cm3. Its energy above the lowest structure with this stoichiometry is 0.0 meV per atom. The calculation puts the formation energy at -29 meV/atom.